[1]
Computed, not measured: crystalline AgPt2Au at its relaxed geometry at the GGA-PBE level of DFT.

Summary:
Energy above the lowest structure with this stoichiometry   99 meV per atom
Final energy   -35.90 eV/cell
Theoretical density   17.3 g cm⁻³
ΔE_f   0.065 eV/atom

Cell lengths 4.1245, 4.1245, 7.8438 Å; angles 90.00, 90.00, 90.00 degrees
Space group I-4m2 (No. 119)
One atom of each set of equivalent atoms:
Ag (0.0000, 0.0000, 0.0000) x2
Pt (0.0000, 0.0000, 0.5000) x2
Pt (0.0000, 0.5000, 0.2500) x2
Au (0.0000, 0.5000, 0.7500) x2

[2]
Computed, not measured: crystalline Sn2SbPd4 at its relaxed geometry at the GGA-PBE level of DFT.

Summary:
Energy above the lowest structure with this stoichiometry   0 meV per atom
Final energy   -143.52 eV/cell
Theoretical density   9.7 g cm⁻³

Cell lengths 9.9804, 4.4041, 12.2595 Å; angles 90.00, 90.00, 90.00 degrees
Space group Pnma (No. 62)
One atom of each set of equivalent atoms:
Sn (0.0938, 0.2500, 0.0894) x4
Sn (0.1124, 0.2500, 0.6106) x4
Sb (0.2369, 0.2500, 0.3527) x4
Pd (0.0319, 0.7500, 0.7124) x4
Pd (0.0934, 0.2500, 0.8688) x4
Pd (0.1540, 0.7500, 0.4823) x4
Pd (0.1568, 0.7500, 0.2327) x4

[3]
Computed, not measured: crystalline Mg6O5 at its relaxed geometry at the GGA-PBE level of DFT.

Summary:
Final energy   -120.40 eV/cell
Theoretical density   3.2 g cm⁻³

Cell lengths 5.2512, 9.0879, 5.2524 Å; angles 90.00, 109.55, 90.00 degrees
Space group C2/m (No. 12)
One atom of each set of equivalent atoms:
Mg (0.2479, 0.0000, 0.2530) x4
Mg (0.2488, 0.1679, 0.7499) x8
O (0.0000, 0.0000, 0.5000) x2
O (0.0000, 0.1667, 0.0000) x4
O (0.0000, 0.3323, 0.5000) x4

[4]
Computed, not measured: crystalline AlTc2B at its relaxed geometry at the GGA-PBE level of DFT.

Summary:
Energy above the lowest structure with this stoichiometry   246 meV per atom
Final energy   -92.60 eV/cell
Theoretical density   6.8 g cm⁻³
ΔE_f   0.072 eV/atom

Cell lengths 2.9791, 2.9791, 22.3236 Å; angles 90.00, 90.00, 120.00 degrees
Space group R-3m (No. 166, hexagonal axes)
One atom of each set of equivalent atoms:
Al (0.0000, 0.0000, 0.0000) x3
Tc (0.0000, 0.0000, 0.1110) x6
B (0.0000, 0.0000, 0.5000) x3

[5]
Computed, not measured: crystalline ErAlZn2Au4 at its relaxed geometry at the GGA-PBE level of DFT.

Summary:
Final energy   -83.11 eV/cell
Theoretical density   12.7 g cm⁻³
ΔE_f   -0.468 eV/atom

Cell lengths 4.5033, 4.5033, 24.9469 Å; angles 90.00, 90.00, 120.00 degrees
Space group R-3m (No. 166, hexagonal axes)
One atom of each set of equivalent atoms:
Er (0.0000, 0.0000, 0.0000) x3
Al (0.0000, 0.0000, 0.5000) x3
Zn (0.0000, 0.0000, 0.2514) x6
Au (0.0000, 0.0000, 0.1323) x6
Au (0.0000, 0.0000, 0.3930) x6

[6]
Computed, not measured: crystalline MgCoTcW at its relaxed geometry at the GGA-PBE level of DFT.

Summary:
Final energy   -127.15 eV/cell
Theoretical density   10.6 g cm⁻³
ΔE_f   0.058 eV/atom

Cell lengths 6.1115, 6.1115, 6.1115 Å; angles 90.00, 90.00, 90.00 degrees
Space group F-43m (No. 216)
One atom of each set of equivalent atoms:
Mg (0.0000, 0.0000, 0.0000) x4
Co (0.2500, 0.2500, 0.2500) x4
Tc (0.2500, 0.2500, 0.7500) x4
W (0.0000, 0.0000, 0.5000) x4

Q: Number 3 is which compound?
A: Mg6O5

Q: The lowest theoretical density belongs to which entry?
A: Mg6O5

Q: Which of these has the highest theoretical density?
A: AgPt2Au

Q: What is the theoretical density in the first record?
A: 17.3 g cm⁻³